(1)
This record from Alexandria describes a geometry-optimized Li3Ir structure. The functional is GGA-PBEsol.

Computed properties:
Density ... 5.95 g cm⁻³
Symmetry ... P-6m2 (187)
Formation energy from the elements ... -66 meV per atom
Total energy ... -0.1469 hartree per atom

Geometry as POSCAR:
```
Li3Ir
1.0
2.698 0.000 0.000
-1.349 2.337 0.000
0.000 0.000 9.430
Li Ir
3 1
direct
0.000 0.000 0.000
0.333 0.667 0.278
0.333 0.667 0.722
0.000 0.000 0.500
```

(2)
This record from Alexandria describes a geometry-optimized Li3Ir structure. The functional is GGA-PBEsol.

Computed properties:
Density ... 6.67 g cm⁻³
Symmetry ... Immm (71)
Formation energy from the elements ... -16 meV per atom
Total energy ... -0.1450 hartree per atom

Geometry as POSCAR:
```
Li3Ir
1.0
-1.284 2.284 4.517
1.284 -2.284 4.517
1.284 2.284 -4.517
Li Ir
3 1
direct
0.000 0.000 0.000
0.250 0.750 0.500
0.750 0.250 0.500
0.500 0.500 0.000
```

(3)
This record from Alexandria describes a geometry-optimized LiIr4 structure. The functional is GGA-PBEsol.

Computed properties:
Density ... 19.12 g cm⁻³
Symmetry ... I4/m (87)
Formation energy from the elements ... -31 meV per atom
Total energy ... -0.3044 hartree per atom

Geometry as POSCAR:
```
LiIr4
1.0
-2.981 2.981 1.895
2.981 -2.981 1.895
2.981 2.981 -1.895
Li Ir
1 4
direct
0.000 0.000 0.000
0.198 0.395 0.593
0.395 0.802 0.197
0.605 0.198 0.803
0.802 0.605 0.407
```

(4)
This record from Alexandria describes a geometry-optimized LiIr3 structure. The functional is GGA-PBEsol.

Computed properties:
Density ... 18.33 g cm⁻³
Symmetry ... P2/m (10)
Formation energy from the elements ... 6 meV per atom
Total energy ... -0.2886 hartree per atom

Geometry as POSCAR:
```
LiIr3
1.0
2.651 0.000 0.000
0.000 4.047 0.000
-1.189 0.000 4.927
Li Ir
1 3
direct
0.000 0.000 0.000
0.000 0.000 0.500
0.380 0.500 0.238
0.620 0.500 0.762
```

(5)
This record from Alexandria describes a geometry-optimized LiIr structure. The functional is GGA-PBEsol.

Computed properties:
Density ... 12.59 g cm⁻³
Symmetry ... R-3m (166)
Formation energy from the elements ... -187 meV per atom
Total energy ... -0.2235 hartree per atom

Geometry as POSCAR:
```
LiIr
1.0
1.318 0.761 4.365
-1.318 0.761 4.365
0.000 -1.522 4.365
Li Ir
1 1
direct
0.000 0.000 0.000
0.500 0.500 0.500
```

(6)
This record from Alexandria describes a geometry-optimized Li3Ir structure. The functional is GGA-PBEsol.

Computed properties:
Density ... 6.59 g cm⁻³
Symmetry ... R-3m (166)
Formation energy from the elements ... -64 meV per atom
Total energy ... -0.1468 hartree per atom

Geometry as POSCAR:
```
Li3Ir
1.0
4.328 2.499 0.828
-4.328 2.499 0.828
0.000 -4.998 0.828
Li Ir
3 1
direct
0.000 0.500 0.500
0.500 0.000 0.500
0.500 0.500 0.000
0.000 0.000 0.000
```

(7)
This record from Alexandria describes a geometry-optimized LiIr2 structure. The functional is GGA-PBEsol.

Computed properties:
Density ... 15.91 g cm⁻³
Symmetry ... C2/m (12)
Formation energy from the elements ... 25 meV per atom
Total energy ... -0.2639 hartree per atom

Geometry as POSCAR:
```
LiIr2
1.0
4.844 -1.341 0.000
4.844 1.341 0.000
-1.597 0.000 6.289
Li Ir
2 4
direct
0.136 0.136 0.026
0.864 0.864 0.974
0.195 0.195 0.639
0.472 0.472 0.692
0.528 0.528 0.308
0.805 0.805 0.361
```

(8)
This record from Alexandria describes a geometry-optimized LiIr structure. The functional is GGA-PBEsol.

Computed properties:
Density ... 12.43 g cm⁻³
Symmetry ... Pmmn (59)
Formation energy from the elements ... -175 meV per atom
Total energy ... -0.2231 hartree per atom

Geometry as POSCAR:
```
LiIr
1.0
2.657 0.000 0.000
0.000 4.383 0.000
0.000 0.000 4.568
Li Ir
2 2
direct
0.250 0.250 0.061
0.750 0.750 0.939
0.250 0.750 0.444
0.750 0.250 0.556
```

(9)
This record from Alexandria describes a geometry-optimized Li2Ir structure. The functional is GGA-PBEsol.

Computed properties:
Density ... 8.85 g cm⁻³
Symmetry ... I4_1/amd (141)
Formation energy from the elements ... -99 meV per atom
Total energy ... -0.1722 hartree per atom

Geometry as POSCAR:
```
Li2Ir
1.0
-2.197 2.197 8.017
2.197 -2.197 8.017
2.197 2.197 -8.017
Li Ir
8 4
direct
0.037 0.787 0.250
0.124 0.374 0.750
0.213 0.963 0.250
0.374 0.124 0.250
0.626 0.876 0.750
0.787 0.037 0.750
0.876 0.626 0.250
0.963 0.213 0.750
0.290 0.540 0.750
0.460 0.710 0.750
0.540 0.290 0.250
0.710 0.460 0.250
```

(10)
This record from Alexandria describes a geometry-optimized Li2Ir structure. The functional is GGA-PBEsol.

Computed properties:
Density ... 8.16 g cm⁻³
Symmetry ... Cmcm (63)
Formation energy from the elements ... -66 meV per atom
Total energy ... -0.1709 hartree per atom

Geometry as POSCAR:
```
Li2Ir
1.0
3.969 -2.361 0.000
3.969 2.361 0.000
0.000 0.000 4.474
Li Ir
4 2
direct
0.042 0.290 0.250
0.290 0.042 0.750
0.710 0.958 0.250
0.958 0.710 0.750
0.408 0.592 0.250
0.592 0.408 0.750
```

(11)
This record from Alexandria describes a geometry-optimized Li3Ir structure. The functional is GGA-PBEsol.

Computed properties:
Density ... 6.48 g cm⁻³
Symmetry ... P2/m (10)
Formation energy from the elements ... -78 meV per atom
Total energy ... -0.1473 hartree per atom

Geometry as POSCAR:
```
Li3Ir
1.0
2.471 0.000 0.000
0.000 4.373 0.000
-0.555 0.000 5.049
Li Ir
3 1
direct
0.000 0.000 0.000
0.141 0.500 0.722
0.859 0.500 0.278
0.500 0.000 0.500
```

(12)
This record from Alexandria describes a geometry-optimized LiIr structure. The functional is GGA-PBEsol.

Computed properties:
Density ... 12.41 g cm⁻³
Symmetry ... C2/m (12)
Formation energy from the elements ... -122 meV per atom
Total energy ... -0.2211 hartree per atom

Geometry as POSCAR:
```
LiIr
1.0
4.730 -1.319 0.000
4.730 1.319 0.000
-1.993 0.000 4.274
Li Ir
2 2
direct
0.120 0.120 0.464
0.880 0.880 0.536
0.370 0.370 0.023
0.630 0.630 0.977
```